# 1
First-principles (PBE-GGA) data for a geometry-optimized Li4Tm3Pt4 structure, as listed in Alexandria via LeMat-Bulk.

The calculation puts the uncorrected energy at -54.33 eV per cell.

a = 8.063 Å, b = 8.063 Å, c = 8.063 Å
α = 151.91°, β = 125.06°, γ = 62.83°
Fractional coordinates of all 11 atoms:
Li: 0.017 0.824 0.193
Li: 0.369 0.176 0.193
Li: 0.631 0.824 0.807
Li: 0.983 0.176 0.807
Tm: 0.000 0.500 0.500
Tm: 0.378 0.378 0.000
Tm: 0.622 0.622 0.000
Pt: 0.225 0.725 0.500
Pt: 0.303 0.000 0.303
Pt: 0.697 0.000 0.697
Pt: 0.775 0.275 0.500

---

# 2
First-principles (PBE-GGA) data for a geometry-optimized YAsCl structure, as listed in Alexandria via LeMat-Bulk.

The calculation puts the uncorrected energy at -16.20 eV per cell.

a = 4.725 Å, b = 4.725 Å, c = 3.509 Å
α = 90.00°, β = 90.00°, γ = 120.00°
Fractional coordinates of all 3 atoms:
Y: 0.000 0.000 0.000
As: 0.667 0.333 0.500
Cl: 0.333 0.667 0.000

---

# 3
First-principles (PBE-GGA) data for a geometry-optimized Pr6BiTe3P2 structure, as listed in Alexandria via LeMat-Bulk.

The calculation puts the uncorrected energy at -70.08 eV per cell.

a = 10.011 Å, b = 10.011 Å, c = 9.004 Å
α = 104.09°, β = 104.09°, γ = 25.32°
Fractional coordinates of all 12 atoms:
Pr: 0.016 0.016 0.259
Pr: 0.324 0.324 0.434
Pr: 0.328 0.328 0.882
Pr: 0.672 0.672 0.118
Pr: 0.676 0.676 0.566
Pr: 0.984 0.984 0.741
Bi: 0.500 0.500 0.000
Te: 0.161 0.161 0.833
Te: 0.500 0.500 0.500
Te: 0.839 0.839 0.167
P: 0.170 0.170 0.337
P: 0.830 0.830 0.663

---

# 4
First-principles (PBE-GGA) data for a geometry-optimized HgF3 structure, as listed in Alexandria via LeMat-Bulk.

The calculation puts the uncorrected energy at -27.88 eV per cell.

a = 3.779 Å, b = 3.779 Å, c = 18.359 Å
α = 90.00°, β = 90.00°, γ = 120.00°
Fractional coordinates of all 12 atoms:
Hg: 0.000 0.000 0.000
Hg: 0.333 0.667 0.667
Hg: 0.667 0.333 0.333
F: 0.000 0.000 0.381
F: 0.000 0.000 0.500
F: 0.000 0.000 0.619
F: 0.333 0.667 0.048
F: 0.333 0.667 0.167
F: 0.333 0.667 0.286
F: 0.667 0.333 0.714
F: 0.667 0.333 0.833
F: 0.667 0.333 0.952